(1)
Sc2Rh2Au: optimized geometry, GGA-PBEsol.

ΔE_f (eV/f.u.): -3.80
N(E_F) (states/eV/atom): 0.488
SG: No. 127
VASP energy (eV for the cell shown): -74.432
Crystal system: tetragonal

```
data_Sc2Rh2Au
_chemical_formula_sum 'Sc4 Rh4 Au2'
_symmetry_space_group_name_H-M 'P 1'
_symmetry_Int_Tables_number 1
_symmetry_space_group_name_Hall 'P 1'
_cell_length_a 7.2418
_cell_length_b 7.2418
_cell_length_c 3.2072
_cell_angle_alpha 90.00
_cell_angle_beta 90.00
_cell_angle_gamma 90.00
loop_
_atom_site_label
_atom_site_type_symbol
_atom_site_fract_x
_atom_site_fract_y
_atom_site_fract_z
Sc1 Sc 0.1656 0.3344 0.0000
Sc2 Sc 0.3344 0.8344 0.0000
Sc3 Sc 0.6656 0.1656 0.0000
Sc4 Sc 0.8344 0.6656 0.0000
Rh1 Rh 0.1360 0.6360 0.5000
Rh2 Rh 0.3640 0.1360 0.5000
Rh3 Rh 0.6360 0.8640 0.5000
Rh4 Rh 0.8640 0.3640 0.5000
Au1 Au 0.0000 0.0000 0.5000
Au2 Au 0.5000 0.5000 0.5000
```

(2)
Sc2RhAu: optimized geometry, GGA-PBEsol.

ΔE_f (eV/f.u.): -3.55
N(E_F) (states/eV/atom): 0.686
SG: No. 123
VASP energy (eV for the cell shown): -28.821
Crystal system: tetragonal

```
data_Sc2RhAu
_chemical_formula_sum 'Sc2 Rh1 Au1'
_symmetry_space_group_name_H-M 'P 1'
_symmetry_Int_Tables_number 1
_symmetry_space_group_name_Hall 'P 1'
_cell_length_a 3.2448
_cell_length_b 3.2448
_cell_length_c 6.6782
_cell_angle_alpha 90.00
_cell_angle_beta 90.00
_cell_angle_gamma 90.00
loop_
_atom_site_label
_atom_site_type_symbol
_atom_site_fract_x
_atom_site_fract_y
_atom_site_fract_z
Sc1 Sc 0.0000 0.0000 0.2363
Sc2 Sc 0.0000 0.0000 0.7637
Rh1 Rh 0.5000 0.5000 0.0000
Au1 Au 0.5000 0.5000 0.5000
```

(3)
ScRh2Au: optimized geometry, GGA-PBEsol.

ΔE_f (eV/f.u.): -1.36
N(E_F) (states/eV/atom): 0.885
SG: No. 12
VASP energy (eV for the cell shown): -28.171
Crystal system: monoclinic

```
data_ScRh2Au
_chemical_formula_sum 'Sc1 Rh2 Au1'
_symmetry_space_group_name_H-M 'P 1'
_symmetry_Int_Tables_number 1
_symmetry_space_group_name_Hall 'P 1'
_cell_length_a 5.3103
_cell_length_b 5.3103
_cell_length_c 2.8485
_cell_angle_alpha 104.47
_cell_angle_beta 104.47
_cell_angle_gamma 117.38
loop_
_atom_site_label
_atom_site_type_symbol
_atom_site_fract_x
_atom_site_fract_y
_atom_site_fract_z
Sc1 Sc 0.0000 0.0000 0.0000
Rh1 Rh 0.0000 0.5000 0.5000
Rh2 Rh 0.5000 0.0000 0.5000
Au1 Au 0.5000 0.5000 0.0000
```

Question: Which of these has the highest N(E_F)?
Answer: ScRh2Au

Question: Look up the N(E_F) of the third one.
Answer: 0.885 states/eV/atom

Question: The highest ΔE_f belongs to which entry?
Answer: ScRh2Au